An optimized crystal structure of Ac2YGaO6, computed with PBE.

Results
E = -7.6692 eV per atom
magnetic moment = 0.00 μB per cell
SG = Pmmn (59)
formation energy from raw total energies = -2.924 eV/atom

Lattice parameters (Å, degrees): 5.8045 6.0948 8.2947 90.00 90.00 90.00
Fractional positions:
Ac: 0.5000 0.7929 0.7686
O: 0.7423 0.9918 0.5000
O: 0.5000 0.2078 0.7395
O: 0.7533 0.4463 0.5000
O: 0.0000 0.7922 0.2395
O: 0.2577 0.9918 0.5000
Ga: 0.0000 0.7643 0.0000
Ac: 0.0000 0.2071 0.2686
O: 0.7467 0.5537 0.0000
O: 0.7577 0.0082 0.0000
O: 0.5000 0.2078 0.2605
Ac: 0.5000 0.7929 0.2314
O: 0.2467 0.4463 0.5000
O: 0.0000 0.7922 0.7605
Y: 0.0000 0.7171 0.5000
O: 0.2423 0.0082 0.0000
Ac: 0.0000 0.2071 0.7314
Ga: 0.5000 0.2357 0.5000
Y: 0.5000 0.2829 0.0000
O: 0.2533 0.5537 0.0000